No. 1
ZrTeIrN2 after structural relaxation, computed with PBE.

Computed properties:
E_form (uncorrected), eV/atom: 0.81
Relative energy among the computed polymorphs, meV/atom: 0.0

Cell: 3.8642 3.8642 6.5944 Å, 90.00 90.00 90.00°
With the nearest neighbours (Å) after each atom.
Fractional coordinates of all 5 atoms:
Zr: 0.5000 0.5000 0.5000  4 Te 2.73
N: 0.5000 0.0000 0.0000  2 Ir 1.93
Te: 0.0000 0.0000 0.5000  4 Zr 2.73
N: 0.0000 0.5000 0.0000  2 Ir 1.93
Ir: 0.0000 0.0000 0.0000  4 N 1.93

---

No. 2
SbAsCl3 after structural relaxation, computed with PBE.

Computed properties:
E_form (uncorrected), eV/atom: 0.00
Relative energy among the computed polymorphs, meV/atom: 0.0

Cell: 5.3613 5.3613 5.3613 Å, 90.00 90.00 90.00°
With the nearest neighbours (Å) after each atom.
Fractional coordinates of all 5 atoms:
Cl: 0.0000 0.0000 0.5000  2 Sb 2.68
Cl: 0.5000 0.0000 0.0000  2 Sb 2.68
Cl: 0.0000 0.5000 0.0000  2 Sb 2.68
Sb: 0.0000 0.0000 0.0000  6 Cl 2.68
As: 0.5000 0.5000 0.5000  12 Cl 3.79

---

No. 3
UMnVCo after structural relaxation, computed with PBE.

Computed properties:
ΔE_f, eV per atom: 0.1922

Cell: 4.2903 4.2903 4.2903 Å, 60.00 60.00 60.00°
With the nearest neighbours (Å) after each atom.
Fractional coordinates of all 4 atoms:
U: 0.7500 0.7500 0.7500  4 Mn 2.63, 4 V 2.63
Mn: 0.5000 0.5000 0.5000  4 Co 2.63, 4 U 2.63
Co: 0.2500 0.2500 0.2500  4 Mn 2.63, 4 V 2.63
V: 0.0000 0.0000 0.0000  4 U 2.63, 4 Co 2.63

---

No. 4
Rb2CuHg after structural relaxation, computed with PBE.

Computed properties:
ΔE_f, eV per atom: 0.2481

Cell: 9.6673 9.6673 7.8350 Å, 51.91 51.91 90.00°
With the nearest neighbours (Å) after each atom.
Fractional coordinates of all 8 atoms:
Rb: 0.5961 0.1250 0.2500  2 Cu 3.37, 2 Hg 3.75
Cu: 0.2500 0.7500 0.5000  4 Rb 3.37
Rb: 0.8750 0.8461 0.7500  2 Cu 3.37, 2 Hg 3.75
Cu: 0.5000 0.5000 0.0000  4 Rb 3.37
Rb: 0.1539 0.6250 0.2500  2 Cu 3.37, 2 Hg 3.75
Hg: 0.0000 0.0000 0.0000  4 Rb 3.75, 2 Cu 3.83
Rb: 0.3750 0.4039 0.7500  2 Cu 3.37, 2 Hg 3.75
Hg: 0.7500 0.2500 0.5000  4 Rb 3.75, 2 Cu 3.83

---

No. 5
RuW2Br after structural relaxation, computed with PBE.

Computed properties:
E_form (uncorrected), eV/atom: 1.26
Relative energy among the computed polymorphs, meV/atom: 774.7

Cell: 4.6469 3.7685 3.7685 Å, 90.00 90.00 90.00°
With the nearest neighbours (Å) after each atom.
Fractional coordinates of all 4 atoms:
Br: 0.5000 0.5000 0.0000  4 Ru 2.66
W: 0.0000 0.0000 0.0000  4 W 2.66
Ru: 0.5000 0.0000 0.5000  4 Br 2.66
W: 0.0000 0.5000 0.5000  4 W 2.66

---

No. 6
LaCoIr2 after structural relaxation, computed with PBE.

Computed properties:
ΔE_f, eV per atom: -0.0011

Cell: 4.7306 4.7306 8.7326 Å, 74.28 74.28 90.00°
With the nearest neighbours (Å) after each atom.
Fractional coordinates of all 8 atoms:
Co: 0.5000 0.5000 0.0000  4 Ir 2.37
Ir: 0.2945 0.6250 0.2500  2 Co 2.37, 2 Ir 2.48
La: 0.7500 0.2500 0.5000  4 Ir 3.07, 4 Co 3.35
Co: 0.2500 0.7500 0.5000  4 Ir 2.37
Ir: 0.4555 0.1250 0.2500  2 Co 2.37, 2 Ir 2.48
La: 0.0000 0.0000 0.0000  4 Ir 3.07, 4 Co 3.35
Ir: 0.8750 0.7055 0.7500  2 Co 2.37, 2 Ir 2.48
Ir: 0.3750 0.5445 0.7500  2 Co 2.37, 2 Ir 2.48

---

No. 7
Er8Te4As3Se after structural relaxation, computed with PBE.

Computed properties:
E_form (uncorrected), eV/atom: -1.46

Cell: 8.3120 8.4940 8.3121 Å, 119.29 120.00 90.00°
With the nearest neighbours (Å) after each atom.
Fractional coordinates of all 16 atoms:
Er: 0.2615 0.2844 0.5230  3 As 2.84, 3 Te 3.12
As: 0.5000 0.5000 0.5000  6 Er 2.82-2.84
As: 0.5000 0.5000 0.0000  6 Er 2.82-2.84
Te: 0.0000 0.0000 0.0000  6 Er 3.12-3.13
Er: 0.7334 0.7161 0.9747  2 As 2.82, 1 Se 2.87, 3 Te 3.09-3.13
Er: 0.2413 0.7161 0.9747  2 As 2.82, 1 Se 2.87, 3 Te 3.09-3.13
Er: 0.2414 0.7161 0.4827  2 As 2.82, 1 Se 2.87, 3 Te 3.09-3.13
Te: 0.5000 0.0000 0.5000  6 Er 3.12-3.13
Er: 0.7586 0.2839 0.5173  2 As 2.82, 1 Se 2.87, 3 Te 3.09-3.13
Er: 0.7385 0.7156 0.4770  3 As 2.84, 3 Te 3.12
Se: 0.0000 0.5000 0.0000  6 Er 2.87
Te: 0.5000 0.0000 0.0000  6 Er 3.09
As: 0.0000 0.5000 0.5000  6 Er 2.82-2.84
Er: 0.2666 0.2839 0.0253  2 As 2.82, 1 Se 2.87, 3 Te 3.09-3.13
Te: 0.0000 0.0000 0.5000  6 Er 3.12-3.13
Er: 0.7587 0.2839 0.0253  2 As 2.82, 1 Se 2.87, 3 Te 3.09-3.13

---

No. 8
La6Pr2SmEr after structural relaxation, computed with PBE.

Computed properties:
ΔE_f, eV per atom: 0.1085

Cell: 9.3276 9.1726 9.1726 Å, 114.43 90.15 90.15°
With the nearest neighbours (Å) after each atom.
Fractional coordinates of all 20 atoms:
Pr: 0.5636 0.2061 0.2951  2 Er 3.50-3.86, 2 Sm 3.51-3.85, 6 La 3.52-3.82
La: 0.0918 0.0775 0.7760  4 La 3.28-3.60, 1 Sm 3.51, 1 Pr 3.62
La: 0.5918 0.7760 0.0775  4 La 3.28-3.60, 1 Sm 3.51, 1 Pr 3.62
Pr: 0.0636 0.2951 0.2061  2 Er 3.50-3.86, 2 Sm 3.51-3.85, 6 La 3.52-3.82
La: 0.0946 0.7193 0.4295  4 La 3.26-3.60, 1 Er 3.49, 1 Pr 3.58
Sm: 0.2500 0.9317 0.0683  6 La 3.43-3.76, 2 Pr 3.51
La: 0.4082 0.2240 0.9225  4 La 3.28-3.60, 1 Sm 3.51, 1 Pr 3.62
Pr: 0.4364 0.7939 0.7049  2 Er 3.50-3.86, 2 Sm 3.51-3.85, 6 La 3.52-3.82
La: 0.8187 0.4654 0.0287  3 La 3.42-3.52, 1 Sm 3.43, 1 Er 3.45, 2 Pr 3.52-3.82
Sm: 0.7500 0.0683 0.9317  6 La 3.43-3.76, 2 Pr 3.51
La: 0.1813 0.5346 0.9713  3 La 3.42-3.52, 1 Sm 3.43, 1 Er 3.45, 2 Pr 3.52-3.82
La: 0.6813 0.9713 0.5346  3 La 3.42-3.52, 1 Sm 3.43, 1 Er 3.45, 2 Pr 3.52-3.82
La: 0.3187 0.0287 0.4654  3 La 3.42-3.52, 1 Sm 3.43, 1 Er 3.45, 2 Pr 3.52-3.82
Er: 0.7500 0.5706 0.4294  6 La 3.45-3.70, 4 Pr 3.50-3.86
La: 0.4054 0.5705 0.2807  4 La 3.26-3.60, 1 Er 3.49, 1 Pr 3.58
Pr: 0.9364 0.7049 0.7939  2 Er 3.50-3.86, 2 Sm 3.51-3.85, 6 La 3.52-3.82
La: 0.9082 0.9225 0.2240  4 La 3.28-3.60, 1 Sm 3.51, 1 Pr 3.62
La: 0.9054 0.2807 0.5705  4 La 3.26-3.60, 1 Er 3.49, 1 Pr 3.58
Er: 0.2500 0.4294 0.5706  6 La 3.45-3.70, 4 Pr 3.50-3.86
La: 0.5946 0.4295 0.7193  4 La 3.26-3.60, 1 Er 3.49, 1 Pr 3.58

---

No. 9
CdAg2Br after structural relaxation, computed with PBE.

Computed properties:
E_form (uncorrected), eV/atom: 0.10
Relative energy among the computed polymorphs, meV/atom: 167.5

Cell: 7.7404 7.7404 6.3226 Å, 52.26 52.26 90.00°
With the nearest neighbours (Å) after each atom.
Fractional coordinates of all 8 atoms:
Ag: 0.8750 0.8753 0.7500  2 Cd 2.85, 2 Br 2.85, 2 Ag 3.17
Ag: 0.1247 0.6250 0.2500  2 Cd 2.85, 2 Br 2.85, 2 Ag 3.17
Ag: 0.6253 0.1250 0.2500  2 Cd 2.85, 2 Br 2.85, 2 Ag 3.17
Br: 0.5000 0.5000 0.0000  4 Ag 2.85, 2 Cd 3.17
Ag: 0.3750 0.3747 0.7500  2 Cd 2.85, 2 Br 2.85, 2 Ag 3.17
Br: 0.2500 0.7500 0.5000  4 Ag 2.85, 2 Cd 3.17
Cd: 0.0000 0.0000 0.0000  4 Ag 2.85, 2 Br 3.17
Cd: 0.7500 0.2500 0.5000  4 Ag 2.85, 2 Br 3.17

---

No. 10
GdPaAgSn after structural relaxation, computed with PBE.

Computed properties:
ΔE_f, eV per atom: -0.1329

Cell: 5.2746 5.2746 5.2746 Å, 60.00 60.00 60.00°
With the nearest neighbours (Å) after each atom.
Fractional coordinates of all 4 atoms:
Gd: 0.2500 0.2500 0.2500  4 Sn 3.23, 4 Ag 3.23
Ag: 0.0000 0.0000 0.0000  4 Gd 3.23, 4 Pa 3.23
Sn: 0.5000 0.5000 0.5000  4 Pa 3.23, 4 Gd 3.23
Pa: 0.7500 0.7500 0.7500  4 Sn 3.23, 4 Ag 3.23

---

No. 11
YReCl2 after structural relaxation, computed with PBE.

Computed properties:
E_form (uncorrected), eV/atom: -0.16
Relative energy among the computed polymorphs, meV/atom: 318.0

Cell: 9.0065 9.0065 9.0065 Å, 20.11 20.11 20.11°
With the nearest neighbours (Å) after each atom.
Fractional coordinates of all 4 atoms:
Re: 0.0000 0.0000 0.0000  2 Cl 2.36
Cl: 0.0890 0.0890 0.0890  1 Re 2.36
Y: 0.5000 0.5000 0.5000  6 Cl 2.74
Cl: 0.9110 0.9110 0.9110  1 Re 2.36

---

No. 12
PrSnBi after structural relaxation, computed with PBE.

Computed properties:
ΔE_f, eV per atom: -0.6859
Relative energy among the computed polymorphs, meV/atom: 0.0

Cell: 4.5139 4.6726 8.9883 Å, 105.07 90.00 90.00°
With the nearest neighbours (Å) after each atom.
Fractional coordinates of all 6 atoms:
Sn: 0.7500 0.5569 0.1138  2 Sn 3.00, 4 Pr 3.34
Bi: 0.2500 0.7493 0.4986  4 Bi 3.25, 4 Pr 3.45-3.48
Sn: 0.2500 0.4431 0.8862  2 Sn 3.00, 4 Pr 3.34
Pr: 0.7500 0.8996 0.7992  6 Sn 3.34-3.59, 4 Bi 3.45-3.48
Pr: 0.2500 0.1004 0.2008  6 Sn 3.34-3.59, 4 Bi 3.45-3.48
Bi: 0.7500 0.2507 0.5014  4 Bi 3.25, 4 Pr 3.45-3.48

---

Question: What is the formula in the first record?
Answer: ZrTeIrN2